The following is a PBE calculation of ZrFe2TePd after structural relaxation, from Alexandria via LeMat-Bulk.

The space group is P4/mmm (No. 123) and the conventional cell measures 4.597, 4.597 and 5.451 Å, with angles of 90.00, 90.00 and 90.00 degrees. The inequivalent atoms are Zr at (0.000, 0.000, 0.000), Fe at (0.000, 0.500, 0.000), Te at (0.000, 0.000, 0.500) and Pd at (0.500, 0.500, 0.500).

The value obtained for the total energy is -27.9 eV per cell. The formation energy from raw total energies comes out at 1183 meV/atom.

---

The following is a PBE calculation of ThFe4Pd after structural relaxation, from Alexandria via LeMat-Bulk.

The space group is F-43m (No. 216) and the conventional cell measures 7.174, 7.174 and 7.174 Å, with angles of 90.00, 90.00 and 90.00 degrees. The inequivalent atoms are Th at (0.000, 0.000, 0.000), Fe at (0.124, 0.124, 0.624) and Pd at (0.250, 0.250, 0.250).

The value obtained for the formation energy is -9 kJ/mol of atoms. The value obtained for the total energy is -188.2 eV per cell.

---

Which formula does entry 2 have?
ThFe4Pd

---

Copy entry 1 word for word.
The following is a PBE calculation of ZrFe2TePd after structural relaxation, from Alexandria via LeMat-Bulk.

The space group is P4/mmm (No. 123) and the conventional cell measures 4.597, 4.597 and 5.451 Å, with angles of 90.00, 90.00 and 90.00 degrees. The inequivalent atoms are Zr at (0.000, 0.000, 0.000), Fe at (0.000, 0.500, 0.000), Te at (0.000, 0.000, 0.500) and Pd at (0.500, 0.500, 0.500).

The value obtained for the total energy is -27.9 eV per cell. The formation energy from raw total energies comes out at 1183 meV/atom.